No. 1
! GGA-PBE Sc2ZnAs, optimized geometry; values from VASP
&SYSTEM
  ibrav = 0, nat = 4, ntyp = 3
/
ATOMIC_SPECIES
Sc 44.96 Sc.upf
Zn 65.41 Zn.upf
As 74.92 As.upf
CELL_PARAMETERS angstrom
0.0000 3.3949 3.3949
3.3949 0.0000 3.3949
3.3949 3.3949 0.0000
ATOMIC_POSITIONS crystal
Sc 0.0000 0.0000 0.0000
Sc 0.2500 0.2500 0.2500
Zn 0.7500 0.7500 0.7500
As 0.5000 0.5000 0.5000
! calculated total energy = -4.668 eV/atom
! crystal system = cubic

=====

No. 2
! GGA-PBE AgSn2B, optimized geometry; values from VASP
&SYSTEM
  ibrav = 0, nat = 4, ntyp = 3
/
ATOMIC_SPECIES
Ag 107.87 Ag.upf
Sn 118.71 Sn.upf
B 10.81 B.upf
CELL_PARAMETERS angstrom
0.0000 3.4557 3.4557
3.4557 0.0000 3.4557
3.4557 3.4557 0.0000
ATOMIC_POSITIONS crystal
Ag 0.0000 0.0000 0.0000
Sn 0.2500 0.2500 0.2500
Sn 0.5000 0.5000 0.5000
B 0.7500 0.7500 0.7500
! calculated total energy = -3.405 eV/atom
! crystal system = cubic